(P)
{
  "formula": "Pm2ThSi2",
  "functional": "PBE",
  "state": "relaxed",
  "cell": [[5.8595, 0.0000, 0.0000], [0.0000, 4.1598, 0.0000], [-1.0706, 0.0000, 11.3699]],
  "species": ["Pm", "Pm", "Pm", "Pm", "Th", "Th", "Si", "Si", "Si", "Si"],
  "frac_coords": [[0.0992, 0.2500, 0.3716], [0.2535, 0.2500, 0.0605], [0.7465, 0.7500, 0.9395], [0.9008, 0.7500, 0.6284], [0.3990, 0.2500, 0.7179], [0.6010, 0.7500, 0.2821], [0.2389, 0.7500, 0.8752], [0.3825, 0.7500, 0.5198], [0.6175, 0.2500, 0.4802], [0.7611, 0.2500, 0.1248]],
  "n_ef_per_ev_atom": 0.82
}

(Q)
{
  "formula": "Pm2ThSi2",
  "functional": "PBE",
  "state": "relaxed",
  "cell": [[7.8140, 0.0000, 0.0000], [0.0000, 7.8140, 0.0000], [0.0000, 0.0000, 4.1523]],
  "species": ["Pm", "Pm", "Pm", "Pm", "Th", "Th", "Si", "Si", "Si", "Si"],
  "frac_coords": [[0.1768, 0.3232, 0.0000], [0.3232, 0.8232, 0.0000], [0.6768, 0.1768, 0.0000], [0.8232, 0.6768, 0.0000], [0.0000, 0.0000, 0.5000], [0.5000, 0.5000, 0.5000], [0.1135, 0.6135, 0.5000], [0.3865, 0.1135, 0.5000], [0.6135, 0.8865, 0.5000], [0.8865, 0.3865, 0.5000]],
  "n_ef_per_ev_atom": 1.28
}

Pick (Q): it beats the second-best structure by 121 meV/atom.

(P)
{
  "formula": "PmTiSi",
  "functional": "PBE",
  "state": "relaxed",
  "cell": [[6.3855, 0.0000, 0.0000], [0.0000, 5.6901, 0.0000], [-1.9405, 0.0000, 7.4037]],
  "species": ["Pm", "Pm", "Pm", "Pm", "Ti", "Ti", "Ti", "Ti", "Si", "Si", "Si", "Si"],
  "frac_coords": [[0.1706, 0.1812, 0.4712], [0.1706, 0.3188, 0.9712], [0.8294, 0.6812, 0.0288], [0.8294, 0.8188, 0.5288], [0.4414, 0.6032, 0.6670], [0.4414, 0.8968, 0.1670], [0.5586, 0.1032, 0.8330], [0.5586, 0.3968, 0.3330], [0.2278, 0.6628, 0.3439], [0.2278, 0.8372, 0.8439], [0.7722, 0.1628, 0.1561], [0.7722, 0.3372, 0.6561]],
  "n_ef_per_ev_atom": 1.14
}

(Q)
{
  "formula": "PmTiSi",
  "functional": "PBE",
  "state": "relaxed",
  "cell": [[4.1080, 0.0000, 0.0000], [0.0000, 4.1080, 0.0000], [0.0000, 0.0000, 7.6965]],
  "species": ["Pm", "Pm", "Ti", "Ti", "Si", "Si"],
  "frac_coords": [[0.2500, 0.2500, 0.1532], [0.7500, 0.7500, 0.8468], [0.2500, 0.7500, 0.5000], [0.7500, 0.2500, 0.5000], [0.2500, 0.2500, 0.7236], [0.7500, 0.7500, 0.2764]],
  "n_ef_per_ev_atom": 1.27
}

Pick (Q): it beats the second-best structure by 299 meV/atom.